The following is a PBE calculation of a geometry-optimized Li4ErOsO6 structure, from OQMD.

Computed properties:
Volume = 240 Å³/cell
Raw total energy = -6.47 eV per atom

Structure (CIF):
```
data_Li4ErOsO6
_cell_length_a 5.300
_cell_length_b 9.229
_cell_length_c 5.201
_cell_angle_alpha 90.00
_cell_angle_beta 109.31
_cell_angle_gamma 90.00
_symmetry_space_group_name_H-M 'C 1 2 1'
_symmetry_Int_Tables_number 5
loop_
_symmetry_equiv_pos_as_xyz
'x,y,z'
'-x,y,-z'
'x+1/2,y+1/2,z'
'-x+1/2,y+1/2,-z'
loop_
_atom_site_label
_atom_site_type_symbol
_atom_site_fract_x
_atom_site_fract_y
_atom_site_fract_z
Li1 Li 0.000 0.000 0.000
Li2 Li 0.000 0.150 0.500
Li3 Li 0.000 0.315 0.000
Li4 Li 0.000 0.629 0.000
Er1 Er 0.000 0.816 0.500
Os1 Os 0.000 0.484 0.500
O1 O 0.225 0.331 0.741
O2 O 0.230 0.487 0.265
O3 O 0.235 0.636 0.742
```